Record 1
DFT (PBE) results for LaPa6Se8 after structural relaxation.

Results
Formation energy (no corrections) in meV/atom: -1150
Calculated volume in Å³ per cell: 378.3
Density of states at the Fermi level in states/eV/atom: 1.75
Space-group type: No. 148

```
15
Lattice="7.391 1.376 1.421 1.145 7.430 1.421 1.145 1.181 7.472" Properties=species:S:1:pos:R:3 pbc="T T T"
Pa 4.165 5.920 2.149
Pa 3.893 7.978 5.899
Pa 5.515 4.067 8.164
Pa 7.853 5.763 4.327
Pa 1.827 4.224 5.986
Pa 5.787 2.008 4.414
Se 3.216 5.911 7.887
Se 3.872 2.214 6.663
Se 6.456 6.661 6.879
Se 2.092 6.532 4.152
Se 3.224 3.326 3.435
Se 7.588 3.454 6.162
Se 6.464 4.076 2.427
Se 5.808 7.773 3.651
La 0.000 0.000 0.000
```

Record 2
DFT (PBE) results for BaLi2Ca6 after structural relaxation.

Results
Calculated volume in Å³ per cell: 367.9
Formation energy from the elements in eV/atom: 0.040
Density of states at the Fermi level in states/eV/atom: 1.02
Space-group type: No. 123

```
9
Lattice="5.465 0.000 0.000 0.000 5.465 0.000 0.000 0.000 12.319" Properties=species:S:1:pos:R:3 pbc="T T T"
Li 2.733 2.733 1.391
Li 2.733 2.733 10.927
Ca 2.733 0.000 3.399
Ca 0.000 0.000 6.159
Ca 0.000 2.733 8.920
Ca 2.733 2.733 6.159
Ca 0.000 2.733 3.399
Ca 2.733 0.000 8.920
Ba 0.000 0.000 0.000
```

Record 3
DFT (PBE) results for BeCo2Tc after structural relaxation.

Results
Calculated volume in Å³ per cell: 45.2
Formation energy from the elements in eV/atom: 0.048
Density of states at the Fermi level in states/eV/atom: 1.27
ΔE to the lowest computed polymorph in meV/atom: 216
Space-group type: No. 225

```
4
Lattice="1.823 0.968 3.426 1.675 3.607 0.424 -1.651 2.695 2.451" Properties=species:S:1:pos:R:3 pbc="T T T"
Be 0.000 0.000 0.000
Tc 0.923 3.635 3.151
Co 1.385 5.453 4.726
Co 0.462 1.818 1.575
```

Record 4
DFT (PBE) results for LaMnW2 after structural relaxation.

Results
Calculated volume in Å³ per cell: 82.3
Formation energy from the elements in eV/atom: 0.640
Density of states at the Fermi level in states/eV/atom: 1.05
ΔE to the lowest computed polymorph in meV/atom: 238
Space-group type: No. 8

```
4
Lattice="4.961 -0.001 0.012 3.958 2.992 0.012 1.706 0.572 5.546" Properties=species:S:1:pos:R:3 pbc="T T T"
La 5.161 1.731 2.857
W 1.794 0.602 5.440
W 2.730 0.915 0.784
Mn 7.959 2.669 4.822
```

Record 5
DFT (PBE) results for LaErTePb after structural relaxation.

Results
Formation energy (no corrections) in meV/atom: -992
Calculated volume in Å³ per cell: 130.7
Density of states at the Fermi level in states/eV/atom: 0.35
Space-group type: No. 160

```
4
Lattice="-2.492 3.668 0.925 -2.738 1.735 -3.164 -7.212 -2.512 1.621" Properties=species:S:1:pos:R:3 pbc="T T T"
Pb -10.163 1.513 -0.104
Er -7.184 0.686 0.108
La -6.098 4.719 -1.864
Te -4.116 -0.070 0.281
```

Record 6
DFT (PBE) results for Cs4Pu3ZrTe8 after structural relaxation.

Results
Formation energy (no corrections) in meV/atom: -1075
Calculated volume in Å³ per cell: 639.4
Density of states at the Fermi level in states/eV/atom: 2.62
Space-group type: No. 166

```
16
Lattice="-3.298 -1.623 8.330 -9.002 -2.964 -4.142 7.404 -4.431 -2.908" Properties=species:S:1:pos:R:3 pbc="T T T"
Te -3.407 -1.487 0.719
Te 0.330 -3.733 -0.597
Te -3.649 -4.347 -2.292
Te -1.247 -4.672 3.572
Te -5.226 -5.285 1.877
Te -1.488 -7.532 0.561
Te 0.247 -6.678 -3.822
Te -5.143 -2.341 5.102
Cs 3.702 -2.215 -1.454
Cs 0.000 0.000 0.000
Cs -1.649 -0.812 4.165
Cs 2.053 -3.027 2.711
Pu -0.799 -3.697 -3.525
Pu -6.150 -2.294 2.094
Pu -2.448 -4.509 0.640
Zr -4.501 -1.482 -2.071
```

Record 7
DFT (PBE) results for La3ScMo after structural relaxation.

Results
Calculated volume in Å³ per cell: 169.2
Formation energy from the elements in eV/atom: 0.395
Density of states at the Fermi level in states/eV/atom: 2.25
ΔE to the lowest computed polymorph in meV/atom: 0
Space-group type: No. 221

```
5
Lattice="5.531 0.000 0.000 0.000 5.531 0.000 0.000 0.000 5.531" Properties=species:S:1:pos:R:3 pbc="T T T"
La 0.000 2.765 0.000
La 2.765 0.000 0.000
La 0.000 0.000 2.765
Mo 0.000 0.000 0.000
Sc 2.765 2.765 2.765
```

Record 8
DFT (PBE) results for VPC2 after structural relaxation.

Results
Calculated volume in Å³ per cell: 85.7
Formation energy from the elements in eV/atom: 0.341
Density of states at the Fermi level in states/eV/atom: 0.49
Space-group type: No. 122

```
8
Lattice="-3.347 -2.280 2.333 -2.320 -0.685 -3.998 -0.909 -4.859 -1.371" Properties=species:S:1:pos:R:3 pbc="T T T"
V -3.545 -4.310 0.065
V 0.000 0.000 0.000
P -3.031 -3.513 -3.101
P -2.833 -1.483 -0.833
C -5.526 -6.205 -2.289
C -2.921 -4.790 -1.850
C -2.444 -2.613 0.501
C -2.260 -2.040 -2.435
```

Record 9
DFT (PBE) results for UTi4Se8 after structural relaxation.

Results
Formation energy (no corrections) in meV/atom: -1165
Calculated volume in Å³ per cell: 297.9
Density of states at the Fermi level in states/eV/atom: 0.86
ΔE to the lowest computed polymorph in meV/atom: 0
Space-group type: No. 166

```
13
Lattice="-5.840 1.419 4.088 -6.546 -2.395 -2.059 -3.152 -5.844 3.989" Properties=species:S:1:pos:R:3 pbc="T T T"
Se -5.378 -4.689 3.528
Se -7.141 -2.865 0.375
Se -6.775 -0.892 3.554
Se -8.398 -3.955 5.642
Se -10.161 -2.130 2.489
Se -8.763 -5.928 2.463
Se -3.906 -1.585 1.432
Se -11.633 -5.235 4.585
Ti -6.193 -0.488 1.014
Ti 0.000 0.000 0.000
Ti -3.273 -1.198 -1.030
Ti -2.920 0.710 2.044
U -7.769 -3.410 3.009
```

Record 10
DFT (PBE) results for Tl4Sb after structural relaxation.

Results
Formation energy (no corrections) in meV/atom: 160
Calculated volume in Å³ per cell: 166.3
Density of states at the Fermi level in states/eV/atom: 0.52
ΔE to the lowest computed polymorph in meV/atom: 159
Space-group type: No. 139

```
5
Lattice="-7.001 -6.061 1.018 -9.205 -0.769 -1.211 8.565 2.400 -2.769" Properties=species:S:1:pos:R:3 pbc="T T T"
Tl -9.561 -4.029 -0.114
Tl -3.270 -3.538 -0.924
Tl -6.645 -2.801 -0.079
Tl -4.371 -0.892 -2.039
Sb 0.000 0.000 0.000
```

Record 11
DFT (PBE) results for ScReW2 after structural relaxation.

Results
Calculated volume in Å³ per cell: 67.8
Formation energy from the elements in eV/atom: 0.321
Density of states at the Fermi level in states/eV/atom: 1.17
ΔE to the lowest computed polymorph in meV/atom: 339
Space-group type: No. 160

```
4
Lattice="-4.630 -2.776 7.571 -5.282 -5.003 5.791 -2.782 -5.029 7.310" Properties=species:S:1:pos:R:3 pbc="T T T"
Re -6.401 -6.458 10.423
W -12.651 -12.765 20.602
W -3.130 -3.158 5.096
Sc -9.553 -9.639 15.557
```

Record 12
DFT (PBE) results for HfTePd2 after structural relaxation.

Results
Formation energy (no corrections) in meV/atom: -320
Calculated volume in Å³ per cell: 161.4
Density of states at the Fermi level in states/eV/atom: 0.63
Space-group type: No. 122

```
8
Lattice="4.117 0.000 0.000 0.000 4.117 0.000 2.058 2.058 9.523" Properties=species:S:1:pos:R:3 pbc="T T T"
Hf 0.000 0.000 0.000
Hf 4.117 2.058 4.761
Pd 3.118 1.029 2.381
Pd 0.998 3.087 2.381
Pd 3.087 3.057 7.142
Pd 5.146 5.177 7.142
Te 2.058 2.058 0.000
Te 2.058 4.117 4.761
```

Record 13
DFT (PBE) results for FePC after structural relaxation.

Results
Calculated volume in Å³ per cell: 36.2
Formation energy from the elements in eV/atom: 0.518
Density of states at the Fermi level in states/eV/atom: 0.75
ΔE to the lowest computed polymorph in meV/atom: 386
Space-group type: No. 6

```
3
Lattice="3.405 0.000 0.000 0.000 2.776 0.000 -1.670 0.000 3.829" Properties=species:S:1:pos:R:3 pbc="T T T"
Fe 3.001 0.000 0.057
P 1.299 0.000 1.444
C 1.311 1.388 2.621
```

Record 14
DFT (PBE) results for PaCdHg2 after structural relaxation.

Results
Calculated volume in Å³ per cell: 95.1
Formation energy from the elements in eV/atom: 0.017
Density of states at the Fermi level in states/eV/atom: 0.82
ΔE to the lowest computed polymorph in meV/atom: 0
Space-group type: No. 160

```
4
Lattice="3.219 0.000 0.000 1.609 2.787 0.000 1.609 0.929 10.599" Properties=species:S:1:pos:R:3 pbc="T T T"
Cd 4.828 2.787 10.598
Pa 3.219 1.858 5.302
Hg 1.609 0.929 8.034
Hg 1.609 0.929 2.564
```

Record 15
DFT (PBE) results for Cs2Sc2Te2Se after structural relaxation.

Results
Formation energy (no corrections) in meV/atom: -1113
Calculated volume in Å³ per cell: 254.4
Density of states at the Fermi level in states/eV/atom: 0.74
Space-group type: No. 139

```
7
Lattice="-3.360 -1.204 -3.712 -2.359 -3.276 3.197 -2.934 9.295 3.211" Properties=species:S:1:pos:R:3 pbc="T T T"
Sc -1.179 -1.638 1.599
Sc -1.680 -0.602 -1.856
Te -4.631 5.640 2.361
Te -4.021 -0.825 0.335
Se 0.000 0.000 0.000
Cs -6.558 2.264 1.628
Cs -2.095 2.551 1.068
```

Record 16
DFT (PBE) results for CsZn2I2 after structural relaxation.

Results
Formation energy (no corrections) in meV/atom: -468
Calculated volume in Å³ per cell: 186.0
Density of states at the Fermi level in states/eV/atom: 0.39
ΔE to the lowest computed polymorph in meV/atom: 0
Space-group type: No. 139

```
5
Lattice="-3.785 -1.107 4.581 4.593 -2.183 3.267 1.294 3.011 5.784" Properties=species:S:1:pos:R:3 pbc="T T T"
I 3.145 -0.409 6.488
I -1.043 0.129 7.144
Zn 1.474 0.194 9.240
Zn 0.628 -0.473 4.392
Cs 0.000 0.000 0.000
```

Record 17
DFT (PBE) results for BeCd2Au2 after structural relaxation.

Results
Calculated volume in Å³ per cell: 184.9
Formation energy from the elements in eV/atom: -0.024
Density of states at the Fermi level in states/eV/atom: 0.29
ΔE to the lowest computed polymorph in meV/atom: 0
Space-group type: No. 127

```
10
Lattice="6.289 0.000 0.000 0.000 6.289 0.000 0.000 0.000 4.674" Properties=species:S:1:pos:R:3 pbc="T T T"
Cd 4.176 5.258 2.337
Cd 1.031 4.176 2.337
Cd 5.258 2.114 2.337
Cd 2.114 1.031 2.337
Be 3.145 3.145 0.000
Be 0.000 0.000 0.000
Au 1.020 2.125 0.000
Au 4.165 1.020 0.000
Au 2.125 5.269 0.000
Au 5.269 4.165 0.000
```

Record 18
DFT (PBE) results for Co3TeRh after structural relaxation.

Results
Formation energy (no corrections) in meV/atom: 1131
Calculated volume in Å³ per cell: 95.9
Density of states at the Fermi level in states/eV/atom: 1.43
ΔE to the lowest computed polymorph in meV/atom: 0
Space-group type: No. 221

```
5
Lattice="4.577 0.000 0.000 0.000 4.577 0.000 0.000 0.000 4.577" Properties=species:S:1:pos:R:3 pbc="T T T"
Rh 0.000 0.000 0.000
Co 2.288 0.000 0.000
Co 0.000 2.288 0.000
Co 0.000 0.000 2.288
Te 2.288 2.288 2.288
```

Record 19
DFT (PBE) results for Sr2YTlCl8 after structural relaxation.

Results
Formation energy (no corrections) in meV/atom: -2152
Calculated volume in Å³ per cell: 406.0
Density of states at the Fermi level in states/eV/atom: 0.00
Space-group type: No. 10

```
12
Lattice="-4.941 4.422 1.475 -3.705 -4.910 2.327 3.567 1.228 8.269" Properties=species:S:1:pos:R:3 pbc="T T T"
Sr -3.431 0.063 3.968
Sr -1.647 0.677 8.102
Cl 1.055 1.329 9.337
Cl -4.044 -0.108 6.756
Cl -4.203 2.849 3.468
Cl -1.034 0.848 5.315
Cl -2.119 3.566 8.297
Cl -6.133 -0.589 2.733
Cl -2.960 -2.826 3.774
Cl -0.876 -2.109 8.603
Y 0.000 0.000 0.000
Tl 1.784 0.614 4.134
```

Record 20
DFT (PBE) results for Hf2CrPbCl after structural relaxation.

Results
Formation energy (no corrections) in meV/atom: 1438
Calculated volume in Å³ per cell: 160.3
Density of states at the Fermi level in states/eV/atom: 1.53
Space-group type: No. 123

```
5
Lattice="5.527 0.000 0.000 0.000 5.527 0.000 0.000 0.000 5.248" Properties=species:S:1:pos:R:3 pbc="T T T"
Hf 0.000 2.763 0.000
Hf 2.763 0.000 0.000
Pb 0.000 0.000 0.000
Cl 2.763 2.763 2.624
Cr 0.000 0.000 2.624
```

Record 21
DFT (PBE) results for YTa2 after structural relaxation.

Results
Calculated volume in Å³ per cell: 136.7
Formation energy from the elements in eV/atom: 0.431
Density of states at the Fermi level in states/eV/atom: 1.03
ΔE to the lowest computed polymorph in meV/atom: 186
Space-group type: No. 8

```
6
Lattice="0.420 -3.954 4.606 1.749 -5.355 2.302 6.910 2.477 2.479" Properties=species:S:1:pos:R:3 pbc="T T T"
Ta 5.559 -5.177 6.351
Ta 3.329 -4.890 4.891
Ta 2.564 -8.938 6.910
Ta 2.930 -2.352 3.119
Y 7.018 0.095 3.989
Y 6.496 -7.404 8.245
```

Record 22
DFT (PBE) results for AgHg2Pt after structural relaxation.

Results
Calculated volume in Å³ per cell: 77.5
Formation energy from the elements in eV/atom: 0.063
Density of states at the Fermi level in states/eV/atom: 0.16
ΔE to the lowest computed polymorph in meV/atom: 0
Space-group type: No. 8

```
4
Lattice="5.606 0.014 0.104 4.807 2.885 0.104 1.250 0.348 4.837" Properties=species:S:1:pos:R:3 pbc="T T T"
Hg 10.344 2.880 0.514
Hg 8.862 2.467 3.439
Ag 2.635 0.734 1.033
Pt 6.064 1.688 2.788
```

Record 23
DFT (PBE) results for ScAgTe after structural relaxation.

Results
Formation energy (no corrections) in meV/atom: -433
Calculated volume in Å³ per cell: 68.1
Density of states at the Fermi level in states/eV/atom: 0.68
ΔE to the lowest computed polymorph in meV/atom: 153
Space-group type: No. 107

```
3
Lattice="5.489 -0.028 0.032 4.216 3.515 0.034 1.274 0.455 3.514" Properties=species:S:1:pos:R:3 pbc="T T T"
Te 6.967 2.502 1.186
Ag 9.669 3.474 0.081
Sc 4.048 1.453 2.379
```

Record 24
DFT (PBE) results for Tb2Tm3Cd6 after structural relaxation.

Results
Calculated volume in Å³ per cell: 337.3
Formation energy from the elements in eV/atom: 0.114
Density of states at the Fermi level in states/eV/atom: 0.80
Space-group type: No. 139

```
11
Lattice="4.960 0.000 0.000 0.000 4.960 0.000 -2.480 -2.480 13.710" Properties=species:S:1:pos:R:3 pbc="T T T"
Tm 0.000 0.000 3.687
Tm 0.000 0.000 0.000
Tm 2.480 2.480 10.023
Cd 0.000 2.480 1.758
Cd 2.480 2.480 6.876
Cd 0.000 2.480 11.952
Cd 0.000 0.000 6.834
Cd 2.480 0.000 1.758
Cd 2.480 0.000 11.952
Tb 2.480 2.480 3.700
Tb 0.000 0.000 10.010
```

Record 25
DFT (PBE) results for MgIn2Ag2 after structural relaxation.

Results
Calculated volume in Å³ per cell: 222.9
Formation energy from the elements in eV/atom: 0.046
Density of states at the Fermi level in states/eV/atom: 0.28
ΔE to the lowest computed polymorph in meV/atom: 137
Space-group type: No. 127

```
10
Lattice="-7.866 2.625 -0.558 -1.386 -5.455 -6.115 -0.892 -2.211 2.174" Properties=species:S:1:pos:R:3 pbc="T T T"
Ag -3.266 -1.181 -0.146
Ag -6.878 -3.860 -4.353
Ag -7.416 -0.722 -1.383
Ag -2.728 -4.319 -3.117
In -7.719 -1.150 -4.336
In -4.120 -3.775 -5.529
In -1.533 -1.680 -2.337
In -5.133 0.946 -1.144
Mg -4.626 -1.415 -3.337
Mg 0.000 0.000 0.000
```